1.
An optimized crystal structure of NiAuSe2, computed with PBE-GGA.

Lattice parameters (Å, degrees): 2.912 3.326 7.880 90.00 90.00 90.00
Space group Pmm2 (No. 25)
One atom of each set of equivalent atoms:
Ni (0.000, 0.000, 0.000) [1 per cell]
Au (0.500, 0.500, 0.767) [1 per cell]
Se (0.000, 0.000, 0.527) [1 per cell]
Se (0.500, 0.500, 0.124) [1 per cell]

Raw formation energy in eV/atom: 0.1087
DOS(E_F) in states/eV/cell: 1.7

=====

2.
An optimized crystal structure of NiAuSe2, computed with PBE-GGA.

Lattice parameters (Å, degrees): 7.236 3.620 6.196 90.00 96.39 90.00
Space group P2/c (No. 13)
One atom of each set of equivalent atoms:
Ni (0.000, 0.242, 0.250) [2 per cell]
Au (0.500, 0.000, 0.000) [2 per cell]
Se (0.174, 0.244, 0.943) [4 per cell]

Raw formation energy in eV/atom: -0.1458
DOS(E_F) in states/eV/cell: 5.1

=====

3.
An optimized crystal structure of NiAuSe, computed with PBE-GGA.

Lattice parameters (Å, degrees): 3.2241 3.2241 5.8066 90.00 90.00 120.00
Space group P3m1 (No. 156)
One atom of each set of equivalent atoms:
Ni (0.0000, 0.0000, 0.0000) [1 per cell]
Au (0.3333, 0.6667, 0.6790) [1 per cell]
Se (0.6667, 0.3333, 0.2397) [1 per cell]

Energy above the lowest structure with this stoichiometry in eV per formula unit: 0.00
Raw formation energy in eV/atom: 0.0034
DOS(E_F) in states/eV/cell: 1.3

=====

4.
An optimized crystal structure of TcNiAu2Se, computed with PBE-GGA.

Lattice parameters (Å, degrees): 5.127 5.127 4.545 90.00 90.00 90.00
Space group P4/mmm (No. 123)
One atom of each set of equivalent atoms:
Tc (0.000, 0.000, 0.000) [1 per cell]
Ni (0.500, 0.500, 0.500) [1 per cell]
Au (0.000, 0.500, 0.000) [2 per cell]
Se (0.000, 0.000, 0.500) [1 per cell]

Raw formation energy in eV/atom: 1.1174
DOS(E_F) in states/eV/cell: 10.7